# CsKIn2As2

A relaxed CsKIn2As2 crystal (PBE-GGA, Alexandria via LeMat-Bulk).

Output
Energy relative to the elements = -0.24 eV per atom
Density = 4.150 g/cm3
Uncorrected energy = -18.2 eV per cell

a b c (Å): 4.8183 4.8183 10.9741
angles (deg): 90.00 90.00 120.00
Space group P-3m1 (No. 164)
Inequivalent atoms, fractional coordinates:
1 Cs 0.0000 0.0000 0.0000 (multiplicity 1)
2 K 0.0000 0.0000 0.5000 (multiplicity 1)
3 In 0.3333 0.6667 0.7397 (multiplicity 2)
4 As 0.3333 0.6667 0.2725 (multiplicity 2)

# CsK2InAs2

A relaxed CsK2InAs2 crystal (PBE-GGA, Alexandria via LeMat-Bulk).

Output
Energy relative to the elements = -0.43 eV per atom
Density = 3.461 g/cm3
Uncorrected energy = -70.6 eV per cell

a b c (Å): 8.7647 14.2617 7.3046
angles (deg): 90.00 90.00 90.00
Space group Ibam (No. 72)
Inequivalent atoms, fractional coordinates:
1 Cs 0.0000 0.0000 0.2500 (multiplicity 4)
2 K 0.1717 0.3132 0.0000 (multiplicity 8)
3 In 0.0000 0.5000 0.2500 (multiplicity 4)
4 As 0.1764 0.4021 0.5000 (multiplicity 8)

# CsK2InAs

A relaxed CsK2InAs crystal (PBE-GGA, Alexandria via LeMat-Bulk).

Output
Energy relative to the elements = -0.09 eV per atom
Density = 2.757 g/cm3
Uncorrected energy = -10.9 eV per cell

a b c (Å): 6.6377 6.6377 5.4801
angles (deg): 90.00 90.00 90.00
Space group P4/mmm (No. 123)
Inequivalent atoms, fractional coordinates:
1 Cs 0.0000 0.0000 0.0000 (multiplicity 1)
2 K 0.0000 0.5000 0.5000 (multiplicity 2)
3 In 0.5000 0.5000 0.0000 (multiplicity 1)
4 As 0.5000 0.5000 0.5000 (multiplicity 1)

# CsMgInAs

A relaxed CsMgInAs crystal (PBE-GGA, Alexandria via LeMat-Bulk).

Output
Energy relative to the elements = -0.40 eV per atom
Density = 3.889 g/cm3
Uncorrected energy = -22.9 eV per cell

a b c (Å): 4.4437 4.4437 15.0044
angles (deg): 90.00 90.00 90.00
Space group P4/nmm (No. 129, origin choice 2)
Inequivalent atoms, fractional coordinates:
1 Cs 0.2500 0.2500 0.2322 (multiplicity 2)
2 Mg 0.2500 0.7500 0.0000 (multiplicity 2)
3 In 0.2500 0.7500 0.5000 (multiplicity 2)
4 As 0.2500 0.2500 0.8971 (multiplicity 2)

# CsNaInAs2

A relaxed CsNaInAs2 crystal (PBE-GGA, Alexandria via LeMat-Bulk).

Output
Energy relative to the elements = -0.31 eV per atom
Density = 4.186 g/cm3
Uncorrected energy = -63.0 eV per cell

a b c (Å): 15.9067 4.0543 12.3687
angles (deg): 90.00 123.21 90.00
Space group C2/m (No. 12)
Inequivalent atoms, fractional coordinates:
1 Cs 0.1815 0.0000 0.1216 (multiplicity 4)
2 Na 0.1525 0.5000 0.3940 (multiplicity 4)
3 In 0.0346 0.0000 0.6693 (multiplicity 4)
4 As 0.0545 0.5000 0.8250 (multiplicity 4)
5 As 0.1481 0.0000 0.5692 (multiplicity 4)

# Cs7NbIn3As5

A relaxed Cs7NbIn3As5 crystal (PBE-GGA, Alexandria via LeMat-Bulk).

Output
Energy relative to the elements = -0.47 eV per atom
Density = 4.350 g/cm3
Uncorrected energy = -110.1 eV per cell

a b c (Å): 9.0174 9.8634 15.1351
angles (deg): 85.22 83.92 85.22
Space group P-1 (No. 2)
Inequivalent atoms, fractional coordinates:
1 Cs 0.1529 0.1380 0.3525 (multiplicity 2)
2 Cs 0.1802 0.6880 0.8691 (multiplicity 2)
3 Cs 0.2394 0.5108 0.4698 (multiplicity 2)
4 Cs 0.2562 0.0003 0.0259 (multiplicity 2)
5 Cs 0.2736 0.7528 0.2531 (multiplicity 2)
6 Cs 0.3201 0.4214 0.1142 (multiplicity 2)
7 Cs 0.3358 0.8421 0.6020 (multiplicity 2)
8 Nb 0.3527 0.1083 0.7733 (multiplicity 2)
9 In 0.0556 0.3141 0.8659 (multiplicity 2)
10 In 0.0972 0.2239 0.6261 (multiplicity 2)
11 In 0.3576 0.4503 0.7040 (multiplicity 2)
12 As 0.0332 0.4945 0.7018 (multiplicity 2)
13 As 0.0838 0.0514 0.7885 (multiplicity 2)
14 As 0.3697 0.3014 0.8742 (multiplicity 2)
15 As 0.4138 0.2056 0.6133 (multiplicity 2)
16 As 0.4853 0.0947 0.1912 (multiplicity 2)

> Which of these has the lowest uncorrected energy?

Cs7NbIn3As5